The following is a PBE calculation of a relaxed structure of Cs3Na5Tl2, from Alexandria via LeMat-Bulk.

Formation energy from the elements (kJ/mol of formula units): -40
Space-group type: P4/mbm, No. 127

```
Cs3Na5Tl2
1.0
13.8223 0.0000 0.0000
0.0000 13.8223 0.0000
0.0000 0.0000 5.2819
Cs Na Tl
6 10 4
Cartesian
0.0000 0.0000 0.0000
2.5564 4.3548 0.0000
4.3548 11.2660 0.0000
6.9112 6.9112 0.0000
9.4676 2.5564 0.0000
11.2660 9.4676 0.0000
0.0000 6.9112 2.6410
0.8902 10.3574 2.6410
3.4463 7.8014 2.6410
3.4649 0.8902 2.6410
6.0209 3.4463 2.6410
6.9112 0.0000 2.6410
7.8014 10.3761 2.6410
10.3574 12.9321 2.6410
10.3761 6.0209 2.6410
12.9321 3.4649 2.6410
1.4205 8.3317 0.0000
5.4906 1.4205 0.0000
8.3317 12.4018 0.0000
12.4018 5.4906 0.0000
```


The following is a PBE calculation of a relaxed structure of Y2Ho3Sc2, from Alexandria via LeMat-Bulk.

Formation energy from the elements (kJ/mol of formula units): 152
Space-group type: P2_1/c, No. 14
Relative energy among the computed polymorphs (eV/atom): 0.000

```
Y2Ho3Sc2
1.0
6.2592 0.0000 0.0000
0.0000 10.4841 0.0000
-0.3146 0.0000 6.4082
Y Ho Sc
4 6 4
Cartesian
0.8181 2.5115 1.5887
0.6608 2.7306 4.7928
5.2837 7.7535 1.6154
5.1264 7.9726 4.8195
0.0000 0.0000 0.0000
-0.1573 5.2421 3.2041
1.5983 5.8523 0.1960
1.4410 9.8739 3.4001
4.5035 0.6102 3.0080
4.3462 4.6319 6.2121
2.6171 6.7550 3.4129
2.7744 8.9712 0.2088
3.1702 1.5129 6.1993
3.3275 3.7291 2.9952
```


The following is a PBE calculation of a relaxed structure of Sm2ZnSi3Ni4, from Alexandria via LeMat-Bulk.

Space-group type: P-4m2, No. 115
Raw formation energy (kJ/mol of formula units): -692

```
Sm2ZnSi3Ni4
1.0
4.0516 0.0000 0.0000
0.0000 4.0516 0.0000
0.0000 0.0000 9.5692
Sm Zn Si Ni
2 1 3 4
Cartesian
0.0000 2.0258 2.3759
2.0258 0.0000 7.1933
0.0000 0.0000 4.7846
0.0000 2.0258 8.3755
2.0258 0.0000 1.1937
2.0258 2.0258 4.7846
0.0000 0.0000 0.0000
0.0000 2.0258 6.0628
2.0258 0.0000 3.5064
2.0258 2.0258 0.0000
```


The following is a PBE calculation of a relaxed structure of YTiSBr2, from Alexandria via LeMat-Bulk.

Space-group type: P4/mmm, No. 123
Raw formation energy (kJ/mol of formula units): 32

```
YTiSBr2
1.0
5.2384 0.0000 0.0000
0.0000 5.2384 0.0000
0.0000 0.0000 6.6288
Y Ti S Br
1 1 1 2
Cartesian
0.0000 0.0000 0.0000
0.0000 0.0000 3.3144
2.6192 2.6192 3.3144
0.0000 2.6192 0.0000
2.6192 0.0000 0.0000
```